Computed, not measured: TmZr after structural relaxation at the PBE-GGA level of DFT.

a b c (Å): 5.2933 13.6209 5.8494
angles (deg): 90.00 90.00 90.00
Space group Pmmn (No. 59, origin choice 2)
Symmetry-distinct sites (fractional):
Tm 0.2500 0.0012 0.1767 (multiplicity 4)
Tm 0.2500 0.1290 0.6622 (multiplicity 4)
Zr 0.2500 0.2500 0.1595 (multiplicity 2)
Zr 0.2500 0.6383 0.6743 (multiplicity 4)
Zr 0.2500 0.7500 0.1449 (multiplicity 2)

Summary:
The calculation puts the total DFT energy (no corrections) at -103.7 eV/cell. The total magnetic moment comes out at 0.002 μB per formula unit. As for the formation energy: 0.05 eV per formula unit.